The following is a DFT calculation (GGA-PBE) of BaTmB after structural relaxation.

Lattice parameters (Å, degrees): 4.825 4.825 4.825 60.00 60.00 60.00
Sites, in units of the cell vectors:
Ba 0.000 0.000 0.000
Tm 0.250 0.250 0.250
B 0.750 0.750 0.750

Values from the calculation:
The calculation puts the energy above the most stable polymorph in this dataset at 872 meV/atom. The magnetic moment comes out at 0.00 Bohr magnetons per cell. The space group is F-43m, No. 216.